No. 1
Sc2FeRh PBE optimized geometry; density of states at the Fermi level = 6.0 states/eV/f.u.
1.0
0.0000 3.2004 3.2004
3.2004 0.0000 3.2004
3.2004 3.2004 0.0000
Sc Fe Rh
2 1 1
Cartesian
0.0000 0.0000 0.0000
1.6002 1.6002 1.6002
4.8006 4.8006 4.8006
3.2004 3.2004 3.2004

No. 2
Sc4FeRh PBE optimized geometry; polymorph energy (0 for the lowest one) = 888 meV per atom; density of states at the Fermi level = 8.5 states/eV/f.u.
1.0
0.0000 3.8788 3.8788
3.8788 0.0000 3.8788
3.8788 3.8788 0.0000
Sc Fe Rh
4 1 1
Cartesian
0.9723 0.9723 0.9723
2.9066 2.9066 0.9723
2.9066 0.9723 2.9066
0.9723 2.9066 2.9066
5.8183 5.8183 5.8183
3.8788 3.8788 3.8788

No. 3
Sc2FeRh PBE optimized geometry; density of states at the Fermi level = 5.0 states/eV/f.u.
1.0
-3.5135 3.5135 2.8757
3.5135 -3.5135 2.8757
3.5135 3.5135 -2.8757
Sc Fe Rh
4 2 2
Cartesian
5.2702 1.7137 -0.7189
1.7137 1.7567 0.7189
-1.7567 1.7998 2.1567
1.7998 1.7567 3.5946
3.5135 0.0000 1.4378
0.0000 0.0000 2.8757
0.0000 0.0000 0.0000
0.0000 3.5135 1.4378

No. 4
ScFeRh2 PBE optimized geometry; density of states at the Fermi level = 3.3 states/eV/f.u.
1.0
-1.5857 2.1167 4.5343
1.5857 -2.1167 4.5343
1.5857 2.1167 -4.5343
Sc Fe Rh
1 1 2
Cartesian
0.0000 0.0000 0.0000
1.5857 0.0000 2.3214
0.0000 0.0000 4.4250
0.0000 2.1167 2.2648

No. 5
Sc4FeRh PBE optimized geometry; polymorph energy (0 for the lowest one) = 0 meV per atom; density of states at the Fermi level = 5.8 states/eV/f.u.
1.0
4.1173 -5.9678 0.0000
4.1173 5.9678 0.0000
-3.0894 0.0000 4.8206
Sc Fe Rh
8 2 2
Cartesian
0.3054 3.8649 4.3657
0.2322 0.7503 3.4275
3.2952 3.8649 2.8652
1.7769 -0.7503 1.0172
3.3684 0.7503 3.8035
1.8501 -3.8649 1.9554
4.9131 -0.7503 1.3932
4.8399 -3.8649 0.4549
3.3450 5.9610 1.2052
1.8003 -5.9610 3.6155
3.3450 1.6255 1.2052
1.8003 -1.6255 3.6155

No. 6
ScFeRh PBE optimized geometry; density of states at the Fermi level = 3.5 states/eV/f.u.
1.0
0.0000 3.0307 3.0307
3.0307 0.0000 3.0307
3.0307 3.0307 0.0000
Sc Fe Rh
1 1 1
Cartesian
0.0000 0.0000 0.0000
3.0307 3.0307 3.0307
4.5461 4.5461 4.5461

No. 7
Sc2FeRh PBE optimized geometry; density of states at the Fermi level = 4.7 states/eV/f.u.
1.0
2.9834 0.0000 0.0000
0.0000 4.2978 0.0000
0.0000 0.0000 5.3299
Sc Fe Rh
2 1 1
Cartesian
0.0000 0.0000 0.0000
1.4917 2.1489 1.8732
0.0000 0.0000 2.7237
1.4917 2.1489 4.4504

No. 8
ScFe2Rh2 PBE optimized geometry; polymorph energy (0 for the lowest one) = 31 meV per atom; density of states at the Fermi level = 3.9 states/eV/f.u.
1.0
-1.7846 1.7846 6.2256
1.7846 -1.7846 6.2256
1.7846 1.7846 -6.2256
Sc Fe Rh
1 2 2
Cartesian
0.0000 0.0000 0.0000
1.7846 0.0000 3.1128
0.0000 1.7846 3.1128
0.0000 0.0000 4.9052
0.0000 0.0000 7.5459

No. 9
ScFeRh2 PBE optimized geometry; density of states at the Fermi level = 3.8 states/eV/f.u.
1.0
2.9099 0.0000 0.0000
0.0000 4.0065 0.0000
0.0000 0.0000 5.3057
Sc Fe Rh
1 1 2
Cartesian
0.0000 0.0000 0.0000
1.4549 2.0032 1.6745
0.0000 0.0000 2.5804
1.4549 2.0032 4.2369

No. 10
Sc3FeRh4 PBE optimized geometry; density of states at the Fermi level = 4.1 states/eV/f.u.
1.0
3.1951 0.0000 0.0000
0.0000 3.1951 0.0000
0.0000 0.0000 12.5157
Sc Fe Rh
3 1 4
Cartesian
0.0000 0.0000 0.0000
0.0000 0.0000 3.2621
0.0000 0.0000 9.2535
0.0000 0.0000 6.2578
1.5976 1.5976 1.6164
1.5976 1.5976 4.8422
1.5976 1.5976 7.6735
1.5976 1.5976 10.8993

No. 11
ScFeRh2 PBE optimized geometry; density of states at the Fermi level = 4.5 states/eV/f.u.
1.0
3.2274 0.0000 0.0000
0.0000 3.2274 0.0000
0.0000 0.0000 5.9033
Sc Fe Rh
1 1 2
Cartesian
0.0000 0.0000 0.0000
1.6137 1.6137 1.7524
0.0000 0.0000 2.8025
1.6137 1.6137 4.5208

No. 12
Sc2FeRh PBE optimized geometry; density of states at the Fermi level = 4.9 states/eV/f.u.
1.0
4.5154 0.0000 0.0000
0.0000 4.5154 0.0000
0.0000 0.0000 3.1571
Sc Fe Rh
2 1 1
Cartesian
0.0000 2.2577 0.0000
2.2577 0.0000 0.0000
0.0000 0.0000 1.5785
2.2577 2.2577 1.5785

The following ρ values (in Mg/m³) correspond, in order, to the records above: 6.3; 4.8; 5.8; 8.4; 4.7; 6.1; 6.0; 7.6; 8.2; 7.8; 8.3; 6.4.
The following DFT formation energy values (in eV per formula unit) correspond, in order, to the records above: -0.787; 2.934; -0.250; -1.503; -2.392; -0.265; -0.930; -0.706; -1.165; -6.035; -0.978; -2.063.